VASP calculation (PBE) on a geometry-optimized AlSe2Br structure.

a b c (Å): 5.6528 5.6528 5.9661
angles (deg): 90.00 90.00 90.00
Space group I4/mmm (No. 139)
Asymmetric unit:
1 Al 0.0000 0.0000 0.0000 [2 per cell]
2 Se 0.0000 0.5000 0.0000 [4 per cell]
3 Br 0.0000 0.0000 0.5000 [2 per cell]

Calculated values
V	23.830	Å³/atom
calculated density	4.61	Mg/m³
uncorrected formation energy	0.08	eV/atom
energy above the lowest structure with this stoichiometry	658	meV per atom
total magnetization	0.00	μB/f.u.